First-principles (GGA-PBE) data for K2Dy2AsP after structural relaxation, as listed in OQMD.

a b c (Å): 4.954 4.954 7.860
angles (deg): 90.00 90.00 90.00
Fractional positions:
As: 0.000 0.000 0.687
Dy: 0.500 0.000 0.494
Dy: 0.000 0.500 0.494
K: 0.000 0.000 0.118
K: 0.500 0.500 0.883
P: 0.500 0.500 0.325

Output
Final energy   -0.1579 Ha/atom
SG   P4mm